No. 1
RbLiTi2Nb after structural relaxation. Source: the Alexandria database, functional GGA-PBEsol.

```
data_RbLiTi2Nb
_chemical_formula_sum 'Rb1 Li1 Ti2 Nb1'
_space_group_name_H-M_alt 'P 4/m m m'
_space_group_IT_number 123
_space_group_name_Hall '-P 4 2'
_cell_length_a 4.7535
_cell_length_b 4.7535
_cell_length_c 5.9565
_cell_angle_alpha 90.00
_cell_angle_beta 90.00
_cell_angle_gamma 90.00
loop_
_atom_site_label
_atom_site_type_symbol
_atom_site_fract_x
_atom_site_fract_y
_atom_site_fract_z
Rb1 Rb 0.0000 0.0000 0.0000
Li1 Li 0.5000 0.5000 0.0000
Ti1 Ti 0.0000 0.5000 0.5000
Nb1 Nb 0.5000 0.5000 0.5000
```

Output
M_tot = 0.00 μB/f.u.
E = -5.08 eV/atom
volume = 134.6 Å³ per cell
crystal system = tetragonal

---

No. 2
Ca7HfN6 after structural relaxation. Source: the Alexandria database, functional GGA-PBEsol.

```
data_Ca7HfN6
_chemical_formula_sum 'Ca28 Hf4 N24'
_space_group_name_H-M_alt 'I b a m'
_space_group_IT_number 72
_space_group_name_Hall '-I 2 2c'
_cell_length_a 6.3189
_cell_length_b 11.6438
_cell_length_c 12.8467
_cell_angle_alpha 90.00
_cell_angle_beta 90.00
_cell_angle_gamma 90.00
loop_
_atom_site_label
_atom_site_type_symbol
_atom_site_fract_x
_atom_site_fract_y
_atom_site_fract_z
Ca1 Ca 0.0000 0.0000 0.2500
Ca2 Ca 0.1150 0.2730 0.1220
Ca3 Ca 0.2195 0.0427 0.0000
Hf1 Hf 0.0000 0.5000 0.2500
N1 N 0.1188 0.1570 0.5000
N2 N 0.1985 0.3918 0.3282
```

Output
M_tot = 0.00 μB/f.u.
uncorrected formation energy = -25.3 kcal/mol of atoms
volume = 945.2 Å³ per cell
crystal system = orthorhombic

---

No. 3
Sm4FeSn8 after structural relaxation. Source: the Alexandria database, functional GGA-PBEsol.

```
data_Sm4FeSn8
_chemical_formula_sum 'Sm4 Fe1 Sn8'
_space_group_name_H-M_alt 'P m m 2'
_space_group_IT_number 25
_cell_length_a 4.4005
_cell_length_b 4.4712
_cell_length_c 16.4027
_cell_angle_alpha 90.00
_cell_angle_beta 90.00
_cell_angle_gamma 90.00
loop_
_space_group_symop_operation_xyz
'x,y,z'
'-x,-y,z'
'-x,y,z'
'x,-y,z'
loop_
_atom_site_label
_atom_site_type_symbol
_atom_site_fract_x
_atom_site_fract_y
_atom_site_fract_z
Sm1 Sm 0.0000 0.0000 0.0000
Sm2 Sm 0.0000 0.5000 0.4923
Sm3 Sm 0.5000 0.0000 0.7923
Sm4 Sm 0.5000 0.5000 0.2975
Fe1 Fe 0.0000 0.5000 0.7006
Sn1 Sn 0.0000 0.0000 0.3308
Sn2 Sn 0.0000 0.0000 0.6349
Sn3 Sn 0.0000 0.5000 0.1487
Sn4 Sn 0.0000 0.5000 0.8503
Sn5 Sn 0.5000 0.0000 0.1498
Sn6 Sn 0.5000 0.0000 0.4575
Sn7 Sn 0.5000 0.5000 0.6329
Sn8 Sn 0.5000 0.5000 0.9703
```

Output
M_tot = 1.37 μB/f.u.
E = -5.48 eV/atom
volume = 322.7 Å³ per cell
crystal system = orthorhombic

---

No. 4
Ba4WN4Cl2 after structural relaxation. Source: the Alexandria database, functional GGA-PBEsol.

```
data_Ba4WN4Cl2
_chemical_formula_sum 'Ba8 W2 N8 Cl4'
_space_group_name_H-M_alt 'P 1 21/m 1'
_space_group_IT_number 11
_cell_length_a 8.4473
_cell_length_b 6.1389
_cell_length_c 10.7525
_cell_angle_alpha 90.00
_cell_angle_beta 98.94
_cell_angle_gamma 90.00
loop_
_space_group_symop_operation_xyz
'x,y,z'
'-x,-y,-z'
'-x,y+1/2,-z'
'x,-y+1/2,z'
loop_
_atom_site_label
_atom_site_type_symbol
_atom_site_fract_x
_atom_site_fract_y
_atom_site_fract_z
Ba1 Ba 0.0029 0.2500 0.3720
Ba2 Ba 0.1844 0.7500 0.0889
Ba3 Ba 0.2868 0.2500 0.7073
Ba4 Ba 0.4453 0.2500 0.3768
W1 W 0.2290 0.7500 0.3993
N1 N 0.0352 0.7500 0.2891
N2 N 0.2461 0.5013 0.5023
N3 N 0.3900 0.7500 0.2975
Cl1 Cl 0.1571 0.2500 0.1036
Cl2 Cl 0.3239 0.7500 0.8325
```

Output
M_tot = 0.00 μB/f.u.
uncorrected formation energy = -33.3 kcal/mol of atoms
volume = 550.8 Å³ per cell
crystal system = monoclinic